## LiLaIn (meta-GGA SCAN)

Data for a crystal of LiLaIn relaxed with PBEsol.

Computed properties:
M_tot in μB/atom: 0.0005
Calculated volume in A^3/atom: 25.67
Calculated formation energy in eV per formula unit: -0.96

Geometry as CIF:
```
data_LiLaIn
_space_group_name_H-M_alt 'I m m 2'
_space_group_IT_number 44
_cell_length_a 3.263
_cell_length_b 4.966
_cell_length_c 9.506
_cell_angle_alpha 90.00
_cell_angle_beta 90.00
_cell_angle_gamma 90.00
loop_
_space_group_symop_operation_xyz
'x,y,z'
'-x,-y,z'
'-x,y,z'
'x,-y,z'
'x+1/2,y+1/2,z+1/2'
'-x+1/2,-y+1/2,z+1/2'
'-x+1/2,y+1/2,z+1/2'
'x+1/2,-y+1/2,z+1/2'
loop_
_atom_site_label
_atom_site_fract_x
_atom_site_fract_y
_atom_site_fract_z
Li1 0.000 0.000 0.000
La1 0.000 0.000 0.322
In1 0.000 0.000 0.664
```